# 1
Material: SmTe2Pd
Method: DFT, PBE-GGA
State: relaxed

Values from the calculation:
* E_tot: -4.314 eV/atom
* ρ: 6.9 g/cm³

Unit cell a=9.408 b=9.408 c=9.408 alpha=24.30 beta=24.30 gamma=24.30
Element x y z (fractional)
Sm 0.000 0.000 0.000
Te 0.112 0.112 0.112
Te 0.888 0.888 0.888
Pd 0.500 0.500 0.500

---

# 2
Material: NdSnHgPd
Method: DFT, PBE-GGA
State: relaxed

Values from the calculation:
* ΔH_f (0 K): -567 meV per atom
* ρ: 10.2 g/cm³

Unit cell a=5.080 b=5.080 c=5.080 alpha=60.00 beta=60.00 gamma=60.00
Element x y z (fractional)
Nd 0.000 0.000 0.000
Sn 0.500 0.500 0.500
Hg 0.250 0.250 0.250
Pd 0.750 0.750 0.750